As2OsRh after structural relaxation. Source: Alexandria, functional PBE.

Values from the calculation:
For the excess energy over the best structure of this formula in the dataset, the calculation gives 148 kJ/mol of formula units. Its theoretical density is 11965 kg/m³. The calculation puts the calculated formation energy at 336 meV/atom. Its final energy is -26.54 eV per cell.

Cell: 5.1893 5.1893 5.1893 Å, 138.17 138.17 60.64°
Element x y z (fractional)
Rh 0.7500 0.2500 0.5000
As 0.0000 0.0000 0.0000
As 0.2500 0.7500 0.5000
Os 0.5000 0.5000 0.0000

As2OsRh after structural relaxation. Source: Alexandria, functional PBE.

Values from the calculation:
For the excess energy over the best structure of this formula in the dataset, the calculation gives 99 kJ/mol of formula units. Its theoretical density is 11655 kg/m³. The calculation puts the calculated formation energy at 209 meV/atom. Its final energy is -27.05 eV per cell.

Cell: 5.4663 5.4663 5.4663 Å, 147.26 133.94 57.65°
Element x y z (fractional)
Rh 0.2327 0.7327 0.5000
As 0.0094 0.0094 0.0000
As 0.7343 0.2343 0.5000
Os 0.5235 0.5235 0.0000

As3OsRh after structural relaxation. Source: Alexandria, functional PBE.

Values from the calculation:
For the excess energy over the best structure of this formula in the dataset, the calculation gives 0 kJ/mol of formula units. Its theoretical density is 8046 kg/m³. The calculation puts the calculated formation energy at 937 meV/atom. Its final energy is -27.84 eV per cell.

Cell: 4.7457 4.7457 4.7457 Å, 90.00 90.00 90.00°
Element x y z (fractional)
Rh 0.5000 0.5000 0.5000
As 0.0000 0.5000 0.0000
As 0.0000 0.0000 0.5000
As 0.5000 0.0000 0.0000
Os 0.0000 0.0000 0.0000

As2OsRh after structural relaxation. Source: Alexandria, functional PBE.

Values from the calculation:
For the excess energy over the best structure of this formula in the dataset, the calculation gives 39 kJ/mol of formula units. Its theoretical density is 11618 kg/m³. The calculation puts the calculated formation energy at 54 meV/atom. Its final energy is -27.67 eV per cell.

Cell: 4.5766 4.5766 4.7287 Å, 76.74 76.74 41.25°
Element x y z (fractional)
Rh 0.2680 0.2680 0.1540
As 0.9915 0.9915 0.1150
As 0.7550 0.7550 0.6897
Os 0.4855 0.4855 0.5412

As2OsRh after structural relaxation. Source: Alexandria, functional PBE.

Values from the calculation:
For the excess energy over the best structure of this formula in the dataset, the calculation gives 72 kJ/mol of formula units. Its theoretical density is 8822 kg/m³. The calculation puts the calculated formation energy at 138 meV/atom. Its final energy is -54.66 eV per cell.

Cell: 5.5200 5.5200 6.7223 Å, 65.76 65.76 90.00°
Element x y z (fractional)
Rh 0.5000 0.5000 0.0000
Rh 0.2500 0.7500 0.5000
As 0.6285 0.1250 0.2500
As 0.1215 0.6250 0.2500
As 0.3750 0.3715 0.7500
As 0.8750 0.8785 0.7500
Os 0.0000 0.0000 0.0000
Os 0.7500 0.2500 0.5000

AsOs3Rh after structural relaxation. Source: Alexandria, functional PBE.

Values from the calculation:
For the excess energy over the best structure of this formula in the dataset, the calculation gives 0 kJ/mol of formula units. Its theoretical density is 13884 kg/m³. The calculation puts the calculated formation energy at 1791 meV/atom. Its final energy is -36.74 eV per cell.

Cell: 4.4735 4.4735 4.4735 Å, 90.00 90.00 90.00°
Element x y z (fractional)
Rh 0.5000 0.5000 0.5000
As 0.0000 0.0000 0.0000
Os 0.0000 0.5000 0.0000
Os 0.0000 0.0000 0.5000
Os 0.5000 0.0000 0.0000

As2OsRh after structural relaxation. Source: Alexandria, functional PBE.

Values from the calculation:
For the excess energy over the best structure of this formula in the dataset, the calculation gives 0 kJ/mol of formula units. Its theoretical density is 10763 kg/m³. The calculation puts the calculated formation energy at -48 meV/atom. Its final energy is -28.07 eV per cell.

Cell: 4.7234 3.3190 4.6571 Å, 69.41 90.00 90.00°
Element x y z (fractional)
Rh 0.5000 0.8326 0.7100
As 0.0000 0.7184 0.9437
As 0.5000 0.5309 0.3076
Os 0.0000 0.4181 0.5387

As2OsRh after structural relaxation. Source: Alexandria, functional PBE.

Values from the calculation:
For the excess energy over the best structure of this formula in the dataset, the calculation gives 141 kJ/mol of formula units. Its theoretical density is 10511 kg/m³. The calculation puts the calculated formation energy at 318 meV/atom. Its final energy is -26.61 eV per cell.

Cell: 2.8274 2.8274 10.0548 Å, 90.00 90.00 119.47°
Element x y z (fractional)
Rh 0.5000 0.5000 0.7413
As 0.0000 0.0000 0.9483
As 0.5000 0.5000 0.3016
Os 0.0000 0.0000 0.5088

AsOs4Rh after structural relaxation. Source: Alexandria, functional PBE.

Values from the calculation:
Its theoretical density is 15945 kg/m³. The calculation puts the calculated formation energy at 968 meV/atom. Its final energy is -51.11 eV per cell.

Cell: 5.1709 5.1709 5.1709 Å, 60.00 60.00 60.00°
Element x y z (fractional)
As 0.0000 0.0000 0.0000
Os 0.6241 0.6241 0.1276
Os 0.6241 0.1276 0.6241
Os 0.6241 0.6241 0.6241
Os 0.1276 0.6241 0.6241
Rh 0.2500 0.2500 0.2500

As2OsRhSe after structural relaxation. Source: Alexandria, functional PBE.

Values from the calculation:
For the excess energy over the best structure of this formula in the dataset, the calculation gives 0 kJ/mol of formula units. Its theoretical density is 7803 kg/m³. For the formation energy without anion corrections, the calculation gives 0.9703 eV per atom. Its final energy is -26.51 eV per cell.

Cell: 4.6315 4.6315 5.1782 Å, 90.00 90.00 90.00°
Element x y z (fractional)
Rh 0.5000 0.5000 0.5000
As 0.0000 0.5000 0.0000
As 0.5000 0.0000 0.0000
Os 0.0000 0.0000 0.0000
Se 0.0000 0.0000 0.5000

SrAs2OsRh after structural relaxation. Source: Alexandria, functional PBE.

Values from the calculation:
Its theoretical density is 6933 kg/m³. The calculation puts the calculated formation energy at 589 meV/atom. Its final energy is -26.61 eV per cell.

Cell: 4.6828 5.7953 4.6828 Å, 90.00 90.00 90.00°
Element x y z (fractional)
Rh 0.5000 0.5000 0.5000
As 0.0000 0.0000 0.5000
As 0.5000 0.0000 0.0000
Os 0.0000 0.0000 0.0000
Sr 0.0000 0.5000 0.0000

TaAsOsRh2 after structural relaxation. Source: Alexandria, functional PBE.

Values from the calculation:
Its theoretical density is 12009 kg/m³. The calculation puts the calculated formation energy at 875 meV/atom. Its final energy is -38.06 eV per cell.

Cell: 4.4518 4.5483 4.4518 Å, 90.00 90.00 90.00°
Element x y z (fractional)
Rh 0.0000 0.0000 0.5000
Rh 0.5000 0.0000 0.0000
As 0.0000 0.0000 0.0000
Os 0.0000 0.5000 0.0000
Ta 0.5000 0.5000 0.5000

Question: Which formula does entry 1 have?
Answer: As2OsRh